Compound: MgTcIr2
Source: the Alexandria database
Functional: SCAN
Structure: PBEsol geometry

The calculated density is 14.56 g/cm³. The energy of formation from the pure elements comes out at 50.1 meV/atom.

Geometry as CIF:
```
data_MgTcIr2
_chemical_formula_sum 'Mg4 Tc4 Ir8'
_symmetry_space_group_name_H-M 'F -4 3 m'
_symmetry_Int_Tables_number 216
_symmetry_space_group_name_Hall 'F -4 2 3'
_cell_length_a 6.137
_cell_length_b 6.137
_cell_length_c 6.137
_cell_angle_alpha 90.00
_cell_angle_beta 90.00
_cell_angle_gamma 90.00
loop_
_atom_site_label
_atom_site_type_symbol
_atom_site_fract_x
_atom_site_fract_y
_atom_site_fract_z
Mg1 Mg 0.000 0.000 0.000
Tc1 Tc 0.250 0.250 0.750
Ir1 Ir 0.000 0.000 0.500
Ir2 Ir 0.250 0.250 0.250
```